Material: BeGeTe
Method: DFT, PBE
State: relaxed

Calculated values
raw formation energy = 0.13 eV/atom
calculated density = 4.81 g/cm3
DOS at the Fermi energy = 0.0 states/eV/cell
total magnetization = 0.00 μB/cell
energy above the lowest structure with this stoichiometry = 0.060 eV/atom
electronic total energy = -3.70 eV per atom

Structure (CIF):
```
data_BeGeTe
_cell_length_a 4.1307
_cell_length_b 4.4660
_cell_length_c 8.1449
_cell_angle_alpha 80.25
_cell_angle_beta 78.76
_cell_angle_gamma 82.71
_symmetry_space_group_name_H-M 'P 1'
_symmetry_Int_Tables_number 1
_symmetry_space_group_name_Hall 'P 1'
loop_
_atom_site_label
_atom_site_type_symbol
_atom_site_fract_x
_atom_site_fract_y
_atom_site_fract_z
_atom_site_occupancy
Be1 Be 0.0000 0.0000 0.0000 1
Be2 Be 0.4628 0.2741 0.9325 1
Ge1 Ge 0.8618 0.6281 0.5857 1
Ge2 Ge 0.9327 0.5348 0.9036 1
Te1 Te 0.4141 0.1821 0.6395 1
Te2 Te 0.4685 0.8199 0.1642 1
```

=====

Material: Be2GeTe
Method: DFT, PBE
State: relaxed

Calculated values
raw formation energy = 0.74 eV/atom
calculated density = 5.52 g/cm3
DOS at the Fermi energy = 11.9 states/eV/cell
total magnetization = 0.00 μB/cell
energy above the lowest structure with this stoichiometry = 0.476 eV/atom
electronic total energy = -3.06 eV per atom

Structure (CIF):
```
data_Be2GeTe
_cell_length_a 6.4029
_cell_length_b 6.4029
_cell_length_c 6.4029
_cell_angle_alpha 90.00
_cell_angle_beta 90.00
_cell_angle_gamma 90.00
_symmetry_space_group_name_H-M 'F m -3 m'
_symmetry_Int_Tables_number 225
_symmetry_space_group_name_Hall '-F 4 2 3'
loop_
_atom_site_label
_atom_site_type_symbol
_atom_site_fract_x
_atom_site_fract_y
_atom_site_fract_z
_atom_site_occupancy
Be1 Be 0.2500 0.2500 0.2500 1
Ge1 Ge 0.0000 0.0000 0.0000 1
Te1 Te 0.0000 0.0000 0.5000 1
```

=====

Material: BeGeTe
Method: DFT, PBE
State: relaxed

Calculated values
raw formation energy = 0.07 eV/atom
calculated density = 4.94 g/cm3
DOS at the Fermi energy = 0.3 states/eV/cell
total magnetization = 0.00 μB/cell
energy above the lowest structure with this stoichiometry = 0.007 eV/atom
electronic total energy = -3.75 eV per atom

Structure (CIF):
```
data_BeGeTe
_cell_length_a 4.0404
_cell_length_b 4.0959
_cell_length_c 8.5007
_cell_angle_alpha 92.37
_cell_angle_beta 90.49
_cell_angle_gamma 90.24
_symmetry_space_group_name_H-M 'P 1'
_symmetry_Int_Tables_number 1
_symmetry_space_group_name_Hall 'P 1'
loop_
_atom_site_label
_atom_site_type_symbol
_atom_site_fract_x
_atom_site_fract_y
_atom_site_fract_z
_atom_site_occupancy
Be1 Be 0.0000 0.0000 0.0000 1
Be2 Be 0.4668 0.6698 0.0090 1
Ge1 Ge 0.5035 0.1683 0.8791 1
Ge2 Ge 0.9604 0.6873 0.7243 1
Te1 Te 0.4601 0.0154 0.5679 1
Te2 Te 0.9624 0.5227 0.1764 1
```

=====

Material: BeTl2GeTe4
Method: DFT, PBE
State: relaxed

Calculated values
raw formation energy = -0.20 eV/atom
calculated density = 6.23 g/cm3
total magnetization = 0.00 μB/cell
electronic total energy = -3.41 eV per atom

Structure (CIF):
```
data_BeTl2GeTe4
_cell_length_a 10.9625
_cell_length_b 8.8623
_cell_length_c 7.7559
_cell_angle_alpha 90.00
_cell_angle_beta 134.96
_cell_angle_gamma 90.00
_symmetry_space_group_name_H-M 'C 1 2 1'
_symmetry_Int_Tables_number 5
_symmetry_space_group_name_Hall 'C 2y'
loop_
_atom_site_label
_atom_site_type_symbol
_atom_site_fract_x
_atom_site_fract_y
_atom_site_fract_z
_atom_site_occupancy
Be1 Be 0.0000 0.0000 0.0000 1
Tl1 Tl 0.0000 0.2502 0.5000 1
Tl2 Tl 0.0000 0.5009 0.0000 1
Ge1 Ge 0.0000 0.7499 0.5000 1
Te1 Te 0.1569 0.8951 0.9111 1
Te2 Te 0.2454 0.1043 0.4023 1
```

=====

Material: ThBe2Ge2
Method: DFT, PBE
State: relaxed

Calculated values
calculated density = 6.99 g/cm3
formation enthalpy at 0 K = -150 meV per atom
DOS at the Fermi energy = 4.8 states/eV/cell
total magnetization = 0.00 μB/cell
electronic total energy = -4.97 eV per atom

Structure (CIF):
```
data_ThBe2Ge2
_cell_length_a 4.0040
_cell_length_b 4.0040
_cell_length_c 20.3078
_cell_angle_alpha 90.00
_cell_angle_beta 90.00
_cell_angle_gamma 120.00
_symmetry_space_group_name_H-M 'R -3 m'
_symmetry_Int_Tables_number 166
_symmetry_space_group_name_Hall '-R 3 2"'
loop_
_atom_site_label
_atom_site_type_symbol
_atom_site_fract_x
_atom_site_fract_y
_atom_site_fract_z
_atom_site_occupancy
Th1 Th 0.0000 0.0000 0.0000 1
Be1 Be 0.0000 0.0000 0.2398 1
Ge1 Ge 0.0000 0.0000 0.4366 1
```

=====

Material: Th3Be2Ge3
Method: DFT, PBE
State: relaxed

Calculated values
calculated density = 9.13 g/cm3
formation enthalpy at 0 K = -551 meV per atom
DOS at the Fermi energy = 14.6 states/eV/cell
total magnetization = 0.00 μB/cell
electronic total energy = -6.00 eV per atom

Structure (CIF):
```
data_Th3Be2Ge3
_cell_length_a 3.9811
_cell_length_b 11.0896
_cell_length_c 15.3629
_cell_angle_alpha 90.00
_cell_angle_beta 90.00
_cell_angle_gamma 90.00
_symmetry_space_group_name_H-M 'C m c m'
_symmetry_Int_Tables_number 63
_symmetry_space_group_name_Hall '-C 2c 2'
loop_
_atom_site_label
_atom_site_type_symbol
_atom_site_fract_x
_atom_site_fract_y
_atom_site_fract_z
_atom_site_occupancy
Th1 Th 0.0000 0.0447 0.2500 1
Th2 Th 0.0000 0.3495 0.0930 1
Be1 Be 0.0000 0.3650 0.6212 1
Ge1 Ge 0.0000 0.0785 0.0587 1
Ge2 Ge 0.0000 0.2372 0.7500 1
```

=====

Material: ThBe3Ge3
Method: DFT, PBE
State: relaxed

Calculated values
calculated density = 6.61 g/cm3
formation enthalpy at 0 K = 76 meV per atom
DOS at the Fermi energy = 7.2 states/eV/cell
total magnetization = 0.00 μB/cell
electronic total energy = -4.56 eV per atom

Structure (CIF):
```
data_ThBe3Ge3
_cell_length_a 6.2127
_cell_length_b 6.2127
_cell_length_c 6.2127
_cell_angle_alpha 90.00
_cell_angle_beta 90.00
_cell_angle_gamma 90.00
_symmetry_space_group_name_H-M 'P m -3 n'
_symmetry_Int_Tables_number 223
_symmetry_space_group_name_Hall '-P 4n 2 3'
loop_
_atom_site_label
_atom_site_type_symbol
_atom_site_fract_x
_atom_site_fract_y
_atom_site_fract_z
_atom_site_occupancy
Th1 Th 0.0000 0.0000 0.0000 1
Be1 Be 0.0000 0.2500 0.5000 1
Ge1 Ge 0.0000 0.5000 0.2500 1
```

=====

Material: Th2BeGe3
Method: DFT, PBE
State: relaxed

Calculated values
calculated density = 8.99 g/cm3
formation enthalpy at 0 K = -556 meV per atom
DOS at the Fermi energy = 2.7 states/eV/cell
total magnetization = 0.00 μB/cell
electronic total energy = -5.96 eV per atom

Structure (CIF):
```
data_Th2BeGe3
_cell_length_a 4.0384
_cell_length_b 4.2266
_cell_length_c 7.4779
_cell_angle_alpha 90.00
_cell_angle_beta 90.00
_cell_angle_gamma 90.00
_symmetry_space_group_name_H-M 'P m m 2'
_symmetry_Int_Tables_number 25
_symmetry_space_group_name_Hall 'P 2 -2'
loop_
_atom_site_label
_atom_site_type_symbol
_atom_site_fract_x
_atom_site_fract_y
_atom_site_fract_z
_atom_site_occupancy
Th1 Th 0.0000 0.0000 0.0000 1
Th2 Th 0.5000 0.0000 0.4935 1
Be1 Be 0.5000 0.5000 0.1720 1
Ge1 Ge 0.0000 0.5000 0.3015 1
Ge2 Ge 0.0000 0.5000 0.6569 1
Ge3 Ge 0.5000 0.5000 0.8690 1
```

=====

Material: Th3BeGe2
Method: DFT, PBE
State: relaxed

Calculated values
calculated density = 9.84 g/cm3
formation enthalpy at 0 K = -549 meV per atom
DOS at the Fermi energy = 15.7 states/eV/cell
total magnetization = 0.00 μB/cell
electronic total energy = -6.42 eV per atom

Structure (CIF):
```
data_Th3BeGe2
_cell_length_a 11.9719
_cell_length_b 4.0520
_cell_length_c 11.8326
_cell_angle_alpha 90.00
_cell_angle_beta 90.00
_cell_angle_gamma 90.00
_symmetry_space_group_name_H-M 'P n m a'
_symmetry_Int_Tables_number 62
_symmetry_space_group_name_Hall '-P 2ac 2n'
loop_
_atom_site_label
_atom_site_type_symbol
_atom_site_fract_x
_atom_site_fract_y
_atom_site_fract_z
_atom_site_occupancy
Th1 Th 0.0602 0.2500 0.1182 1
Th2 Th 0.1121 0.7500 0.5595 1
Th3 Th 0.2053 0.2500 0.7804 1
Be1 Be 0.1320 0.2500 0.3696 1
Ge1 Ge 0.0389 0.7500 0.3118 1
Ge2 Ge 0.2016 0.7500 0.9820 1
```

=====

Material: Ti2Be3Ge
Method: DFT, PBE
State: relaxed

Calculated values
calculated density = 4.41 g/cm3
formation enthalpy at 0 K = -347 meV per atom
DOS at the Fermi energy = 22.0 states/eV/cell
total magnetization = 0.00 μB/cell
electronic total energy = -5.61 eV per atom

Structure (CIF):
```
data_Ti2Be3Ge
_cell_length_a 5.8910
_cell_length_b 7.5948
_cell_length_c 13.1498
_cell_angle_alpha 90.00
_cell_angle_beta 90.00
_cell_angle_gamma 90.00
_symmetry_space_group_name_H-M 'F m m m'
_symmetry_Int_Tables_number 69
_symmetry_space_group_name_Hall '-F 2 2'
loop_
_atom_site_label
_atom_site_type_symbol
_atom_site_fract_x
_atom_site_fract_y
_atom_site_fract_z
_atom_site_occupancy
Ti1 Ti 0.2440 0.0000 0.0000 1
Ti2 Ti 0.2500 0.2500 0.2500 1
Be1 Be 0.0000 0.0000 0.1620 1
Be2 Be 0.0000 0.2425 0.0807 1
Ge1 Ge 0.0000 0.0000 0.3345 1
```

=====

Material: Ti2BeGe2
Method: DFT, PBE
State: relaxed

Calculated values
calculated density = 5.54 g/cm3
formation enthalpy at 0 K = -328 meV per atom
DOS at the Fermi energy = 7.3 states/eV/cell
total magnetization = 0.00 μB/cell
energy above the lowest structure with this stoichiometry = 0.047 eV/atom
electronic total energy = -6.08 eV per atom

Structure (CIF):
```
data_Ti2BeGe2
_cell_length_a 6.2925
_cell_length_b 6.2925
_cell_length_c 3.7844
_cell_angle_alpha 90.00
_cell_angle_beta 90.00
_cell_angle_gamma 90.00
_symmetry_space_group_name_H-M 'P 4/m b m'
_symmetry_Int_Tables_number 127
_symmetry_space_group_name_Hall '-P 4 2ab'
loop_
_atom_site_label
_atom_site_type_symbol
_atom_site_fract_x
_atom_site_fract_y
_atom_site_fract_z
_atom_site_occupancy
Ti1 Ti 0.1681 0.3319 0.0000 1
Be1 Be 0.0000 0.0000 0.5000 1
Ge1 Ge 0.1409 0.6409 0.5000 1
```

=====

Material: Ti2BeGe
Method: DFT, PBE
State: relaxed

Calculated values
calculated density = 5.07 g/cm3
formation enthalpy at 0 K = -459 meV per atom
DOS at the Fermi energy = 6.3 states/eV/cell
total magnetization = 0.00 μB/cell
electronic total energy = -6.49 eV per atom

Structure (CIF):
```
data_Ti2BeGe
_cell_length_a 5.0161
_cell_length_b 3.5051
_cell_length_c 7.0649
_cell_angle_alpha 90.00
_cell_angle_beta 110.70
_cell_angle_gamma 90.00
_symmetry_space_group_name_H-M 'P 1 21/m 1'
_symmetry_Int_Tables_number 11
_symmetry_space_group_name_Hall '-P 2yb'
loop_
_atom_site_label
_atom_site_type_symbol
_atom_site_fract_x
_atom_site_fract_y
_atom_site_fract_z
_atom_site_occupancy
Ti1 Ti 0.2059 0.2500 0.4196 1
Ti2 Ti 0.2606 0.7500 0.0669 1
Be1 Be 0.1377 0.2500 0.7882 1
Ge1 Ge 0.3662 0.7500 0.7152 1
```